Entry 1:
The following is a DFT calculation (PBE-GGA) of crystalline TePd3Pt at its relaxed geometry.

POSCAR file:
```
TePd3Pt
1.0
-3.7621 4.9333 2.5084
3.7621 -4.9333 2.5084
3.7621 4.9333 -2.5084
Te Pd Pt
2 6 2
Cartesian
1.8811 0.8000 0.0000 Te
1.8811 4.1333 2.5084 Te
1.8811 -0.4124 2.2997 Pd
0.4135 3.0564 0.6290 Pd
3.3486 3.0564 0.6290 Pd
1.8811 5.3457 -0.2088 Pd
-0.4135 6.8103 0.6290 Pd
0.4135 1.8770 3.1375 Pd
5.6432 1.7918 -0.2963 Pt
-1.8811 3.1416 2.2121 Pt
```

energy above the most stable polymorph in this dataset: 72 meV/atom
SG: Ima2, No. 46
crystal system: orthorhombic
formation energy (no corrections): -0.086 eV per atom



Entry 2:
The following is a DFT calculation (PBE-GGA) of crystalline Cs3CaLa2Te6 at its relaxed geometry.

POSCAR file:
```
Cs3CaLa2Te6
1.0
4.1064 -7.1122 0.0000
4.1064 7.1122 0.0000
-2.7382 0.0000 8.9566
Cs Ca La Te
3 1 2 6
Cartesian
0.0000 0.0000 0.0000 Cs
4.1064 2.3627 0.0000 Cs
4.1064 -2.3627 0.0000 Cs
2.7373 0.0000 4.4783 Ca
2.7373 4.7417 4.4783 La
2.7373 -4.7417 4.4783 La
1.3678 2.3732 2.7281 Te
-0.0021 0.0000 6.2265 Te
1.3678 -2.3732 2.7281 Te
4.1068 2.3732 6.2285 Te
5.4767 0.0000 2.7301 Te
4.1068 -2.3732 6.2285 Te
```

SG: C2/m, No. 12
crystal system: monoclinic
formation energy (no corrections): -1.357 eV per atom



Entry 3:
The following is a DFT calculation (PBE-GGA) of crystalline LiAl2RhBr at its relaxed geometry.

POSCAR file:
```
LiAl2RhBr
1.0
5.0288 0.0000 0.0000
0.0000 5.0288 0.0000
0.0000 0.0000 4.1437
Li Al Rh Br
1 2 1 1
Cartesian
0.0000 0.0000 0.0000 Li
0.0000 2.5144 2.0719 Al
2.5144 0.0000 2.0719 Al
2.5144 2.5144 0.0000 Rh
0.0000 0.0000 2.0719 Br
```

SG: P4/mmm, No. 123
crystal system: tetragonal
formation energy (no corrections): 0.618 eV per atom



Entry 4:
The following is a DFT calculation (PBE-GGA) of crystalline CoCuTc2 at its relaxed geometry.

POSCAR file:
```
CoCuTc2
1.0
8.8424 0.0000 0.0000
0.0000 2.5886 0.0000
-0.7486 0.0000 4.5432
Co Cu Tc
2 2 4
Cartesian
0.0000 0.0000 0.0000 Co
4.4212 1.2943 0.0000 Co
2.0551 1.2943 1.0524 Cu
6.4764 0.0000 1.0524 Cu
-0.3126 1.2943 2.2330 Tc
1.8125 0.0000 3.3898 Tc
4.1086 0.0000 2.2330 Tc
6.2338 1.2943 3.3898 Tc
```

formation energy: 0.183 eV/atom
energy above the most stable polymorph in this dataset: 58 meV/atom
SG: Cm, No. 8
crystal system: monoclinic



Entry 5:
The following is a DFT calculation (PBE-GGA) of crystalline TaCrW2 at its relaxed geometry.

POSCAR file:
```
TaCrW2
1.0
2.9225 0.0000 0.0000
-1.4613 2.5310 0.0000
0.0000 0.0000 25.9459
Ta Cr W
3 3 6
Cartesian
0.0000 0.0000 0.0000 Ta
0.0000 1.6873 17.2973 Ta
1.4613 0.8437 8.6486 Ta
0.0000 0.0000 12.9730 Cr
0.0000 1.6873 4.3243 Cr
1.4613 0.8437 21.6216 Cr
0.0000 0.0000 6.2892 W
0.0000 0.0000 19.6567 W
0.0000 1.6873 11.0081 W
0.0000 1.6873 23.5865 W
1.4613 0.8437 2.3594 W
1.4613 0.8437 14.9378 W
```

formation energy: 0.377 eV/atom
energy above the most stable polymorph in this dataset: 408 meV/atom
SG: R-3m, No. 166
crystal system: trigonal



Entry 6:
The following is a DFT calculation (PBE-GGA) of crystalline AcZn2Cd at its relaxed geometry.

POSCAR file:
```
AcZn2Cd
1.0
4.9637 0.0000 0.0000
0.0000 4.9637 0.0000
0.0000 0.0000 4.2209
Ac Zn Cd
1 2 1
Cartesian
0.0000 0.0000 0.0000 Ac
0.0000 2.4819 2.1105 Zn
2.4819 0.0000 2.1105 Zn
2.4819 2.4819 0.0000 Cd
```

formation energy: -0.081 eV/atom
SG: P4/mmm, No. 123
crystal system: tetragonal



Entry 7:
The following is a DFT calculation (PBE-GGA) of crystalline CeNdYTc at its relaxed geometry.

POSCAR file:
```
CeNdYTc
1.0
4.3559 0.0000 0.0000
-2.1780 3.7723 0.0000
0.0000 0.0000 21.8069
Ce Nd Y Tc
3 3 3 3
Cartesian
0.0000 0.0000 0.0000 Ce
0.0000 2.5149 14.5379 Ce
2.1780 1.2574 7.2689 Ce
0.0000 0.0000 16.8164 Nd
0.0000 2.5149 9.5475 Nd
2.1780 1.2574 2.2785 Nd
0.0000 0.0000 12.3071 Y
0.0000 2.5149 5.0382 Y
2.1780 1.2574 19.5761 Y
0.0000 0.0000 7.3125 Tc
0.0000 2.5149 0.0435 Tc
2.1780 1.2574 14.5815 Tc
```

formation energy: 0.145 eV/atom
SG: R3m, No. 160
crystal system: trigonal



Entry 8:
The following is a DFT calculation (PBE-GGA) of crystalline MgNiTe at its relaxed geometry.

POSCAR file:
```
MgNiTe
1.0
4.2784 0.0000 0.0000
-2.1392 3.7052 0.0000
0.0000 0.0000 7.1970
Mg Ni Te
2 2 2
Cartesian
0.0000 0.0000 0.0000 Mg
0.0000 0.0000 3.5985 Mg
0.0000 2.4701 2.7571 Ni
2.1392 1.2351 6.3556 Ni
0.0000 2.4701 5.3254 Te
2.1392 1.2351 1.7269 Te
```

SG: P6_3mc, No. 186
crystal system: hexagonal
formation energy (no corrections): -0.321 eV per atom



Entry 9:
The following is a DFT calculation (PBE-GGA) of crystalline SrCa2MgRu at its relaxed geometry.

POSCAR file:
```
SrCa2MgRu
1.0
5.4868 0.0000 0.0000
0.0000 5.4868 0.0000
0.0000 0.0000 5.3637
Sr Ca Mg Ru
1 2 1 1
Cartesian
0.0000 0.0000 0.0000 Sr
0.0000 2.7434 2.6818 Ca
2.7434 0.0000 2.6818 Ca
2.7434 2.7434 0.0000 Mg
2.7434 2.7434 2.6818 Ru
```

formation energy: 0.115 eV/atom
SG: P4/mmm, No. 123
crystal system: tetragonal



Entry 10:
The following is a DFT calculation (PBE-GGA) of crystalline MgBrCl2 at its relaxed geometry.

POSCAR file:
```
MgBrCl2
1.0
4.9126 0.0000 0.0000
0.0000 3.8917 0.0000
-1.4479 0.0000 5.6747
Mg Br Cl
1 1 2
Cartesian
0.0000 0.0000 0.0000 Mg
0.3321 1.9459 1.9552 Br
2.4579 0.0000 0.2152 Cl
3.3074 1.9459 4.0944 Cl
```

energy above the most stable polymorph in this dataset: 108 meV/atom
SG: Pm, No. 6
crystal system: monoclinic
formation energy (no corrections): -1.077 eV per atom



Entry 11:
The following is a DFT calculation (PBE-GGA) of crystalline Fe2HgP at its relaxed geometry.

POSCAR file:
```
Fe2HgP
1.0
2.9252 0.0000 0.0000
-1.4626 2.5333 0.0000
0.0000 0.0000 25.7337
Fe Hg P
6 3 3
Cartesian
0.0000 0.0000 0.0000 Fe
0.0000 0.0000 6.7658 Fe
0.0000 1.6889 17.1558 Fe
0.0000 1.6889 23.9216 Fe
1.4626 0.8444 8.5779 Fe
1.4626 0.8444 15.3438 Fe
0.0000 0.0000 12.9692 Hg
0.0000 1.6889 4.3913 Hg
1.4626 0.8444 21.5471 Hg
0.0000 0.0000 18.6776 P
0.0000 1.6889 10.0997 P
1.4626 0.8444 1.5219 P
```

formation energy: 0.244 eV/atom
energy above the most stable polymorph in this dataset: 205 meV/atom
SG: R3m, No. 160
crystal system: trigonal



Entry 12:
The following is a DFT calculation (PBE-GGA) of crystalline Sr2SbRh at its relaxed geometry.

POSCAR file:
```
Sr2SbRh
1.0
6.9238 0.0000 0.0000
0.0000 8.5036 0.0000
0.0000 0.0000 3.7870
Sr Sb Rh
4 2 2
Cartesian
1.7309 2.1259 0.0000 Sr
1.7309 6.3777 0.0000 Sr
5.1928 2.1259 0.0000 Sr
5.1928 6.3777 0.0000 Sr
0.0000 0.0000 1.8935 Sb
3.4619 4.2518 1.8935 Sb
0.0000 4.2518 1.8935 Rh
3.4619 0.0000 1.8935 Rh
```

SG: Cmmm, No. 65
crystal system: orthorhombic
formation energy (no corrections): -0.380 eV per atom



Entry 13:
The following is a DFT calculation (PBE-GGA) of crystalline SbTe2AsAu at its relaxed geometry.

POSCAR file:
```
SbTe2AsAu
1.0
5.4257 0.0000 0.0000
0.0000 5.4257 0.0000
0.0000 0.0000 5.2996
Sb Te As Au
1 2 1 1
Cartesian
0.0000 0.0000 0.0000 Sb
0.0000 2.7129 2.6498 Te
2.7129 0.0000 2.6498 Te
2.7129 2.7129 0.0000 As
0.0000 0.0000 2.6498 Au
```

energy above the most stable polymorph in this dataset: 0 meV/atom
SG: P4/mmm, No. 123
crystal system: tetragonal
formation energy (no corrections): 0.753 eV per atom



Entry 14:
The following is a DFT calculation (PBE-GGA) of crystalline MgCr at its relaxed geometry.

POSCAR file:
```
MgCr
1.0
3.2723 0.0000 0.0000
0.0000 4.0339 0.0000
0.0000 0.0000 4.5113
Mg Cr
2 2
Cartesian
0.0000 0.0000 0.0000 Mg
1.6362 2.0170 0.0000 Mg
0.0000 2.0170 2.2556 Cr
1.6362 0.0000 2.2556 Cr
```

formation energy: 0.615 eV/atom
energy above the most stable polymorph in this dataset: 370 meV/atom
SG: Cmmm, No. 65
crystal system: orthorhombic



Entry 15:
The following is a DFT calculation (PBE-GGA) of crystalline Ce4HoTh3Se8 at its relaxed geometry.

POSCAR file:
```
Ce4HoTh3Se8
1.0
4.1841 2.4157 6.8307
-4.1841 2.4157 6.8307
0.0000 -4.8314 6.8307
Ce Ho Th Se
4 1 3 8
Cartesian
0.0000 0.0000 0.0000 Ce
-2.0920 -1.2078 6.8307 Ce
-2.0920 1.2078 13.6614 Ce
0.0000 2.4157 6.8307 Ce
0.0000 0.0000 10.2461 Ho
-4.1841 0.0000 10.2461 Th
-2.0920 1.2078 3.4154 Th
2.0920 1.2078 3.4154 Th
0.0000 0.0000 5.1444 Se
0.0000 -2.3579 8.5605 Se
-2.0420 1.1789 8.5605 Se
-2.0420 -1.1789 11.9317 Se
2.0420 1.1789 8.5605 Se
2.0420 -1.1789 11.9317 Se
0.0000 2.3579 11.9317 Se
0.0000 0.0000 15.3478 Se
```

SG: R-3m, No. 166
crystal system: trigonal
formation energy (no corrections): -1.708 eV per atom



Entry 16:
The following is a DFT calculation (PBE-GGA) of crystalline AgTe2IN at its relaxed geometry.

POSCAR file:
```
AgTe2IN
1.0
5.7840 0.0000 0.0000
0.0000 5.7840 0.0000
0.0000 0.0000 3.9997
Ag Te I N
1 2 1 1
Cartesian
0.0000 0.0000 0.0000 Ag
0.0000 2.8920 0.0000 Te
2.8920 0.0000 0.0000 Te
2.8920 2.8920 1.9998 I
0.0000 0.0000 1.9998 N
```

energy above the most stable polymorph in this dataset: 209 meV/atom
SG: P4/mmm, No. 123
crystal system: tetragonal
formation energy (no corrections): 1.087 eV per atom



Entry 17:
The following is a DFT calculation (PBE-GGA) of crystalline PaBe5Si2Mo at its relaxed geometry.

POSCAR file:
```
PaBe5Si2Mo
1.0
4.0648 0.0000 0.0000
0.0000 4.0648 0.0000
0.0000 0.0000 7.1663
Pa Be Si Mo
1 5 2 1
Cartesian
0.0000 0.0000 0.0000 Pa
0.0000 2.0324 1.8418 Be
0.0000 2.0324 5.3245 Be
2.0324 0.0000 1.8418 Be
2.0324 0.0000 5.3245 Be
2.0324 2.0324 0.0000 Be
2.0324 2.0324 2.3954 Si
2.0324 2.0324 4.7709 Si
0.0000 0.0000 3.5831 Mo
```

SG: P4/mmm, No. 123
crystal system: tetragonal
formation energy (no corrections): 0.522 eV per atom



Entry 18:
The following is a DFT calculation (PBE-GGA) of crystalline Ca2AgHg4Pb at its relaxed geometry.

POSCAR file:
```
Ca2AgHg4Pb
1.0
2.5949 1.4982 8.6372
-2.5949 1.4982 8.6372
0.0000 -2.9964 8.6372
Ca Ag Hg Pb
2 1 4 1
Cartesian
0.0000 0.0000 6.4820 Ca
0.0000 0.0000 19.4295 Ca
0.0000 0.0000 0.0000 Ag
0.0000 0.0000 3.0430 Hg
0.0000 0.0000 9.5728 Hg
0.0000 0.0000 16.3387 Hg
0.0000 0.0000 22.8685 Hg
0.0000 0.0000 12.9557 Pb
```

formation energy: -0.336 eV/atom
SG: R-3m, No. 166
crystal system: trigonal



Entry 19:
The following is a DFT calculation (PBE-GGA) of crystalline V2CuPd at its relaxed geometry.

POSCAR file:
```
V2CuPd
1.0
3.6689 0.0000 0.0000
0.0000 3.6689 0.0000
0.0000 0.0000 3.9975
V Cu Pd
2 1 1
Cartesian
0.0000 1.8345 0.0000 V
1.8345 0.0000 0.0000 V
0.0000 0.0000 1.9987 Cu
1.8345 1.8345 1.9987 Pd
```

formation energy: -0.043 eV/atom
SG: P4/mmm, No. 123
crystal system: tetragonal



Entry 20:
The following is a DFT calculation (PBE-GGA) of crystalline Y6C2Se2S at its relaxed geometry.

POSCAR file:
```
Y6C2Se2S
1.0
3.2897 -5.7136 0.0000
3.2897 5.7136 0.0000
-2.0592 0.0000 6.5144
Y C Se S
6 2 2 1
Cartesian
0.0485 2.0396 5.1287 Y
0.9028 0.0000 1.3952 Y
0.0485 -2.0396 5.1287 Y
4.4718 2.0396 1.3857 Y
3.6175 0.0000 5.1193 Y
4.4718 -2.0396 1.3857 Y
3.2897 3.7765 0.0000 C
3.2897 -3.7765 0.0000 C
2.2601 1.8097 3.2572 Se
2.2601 -1.8097 3.2572 Se
3.2897 0.0000 0.0000 S
```

SG: C2/m, No. 12
crystal system: monoclinic
formation energy (no corrections): -1.240 eV per atom



Entry 21:
The following is a DFT calculation (PBE-GGA) of crystalline Be2InNi at its relaxed geometry.

POSCAR file:
```
Be2InNi
1.0
2.8930 0.0000 0.0000
-1.4465 2.5054 0.0000
0.0000 0.0000 22.5797
Be In Ni
6 3 3
Cartesian
0.0000 0.0000 5.2822 Be
0.0000 0.0000 17.2975 Be
0.0000 1.6703 9.7710 Be
0.0000 1.6703 20.3353 Be
1.4465 0.8351 2.2444 Be
1.4465 0.8351 12.8087 Be
0.0000 0.0000 0.0000 In
0.0000 1.6703 15.0531 In
1.4465 0.8351 7.5266 In
0.0000 0.0000 11.2899 Ni
0.0000 1.6703 3.7633 Ni
1.4465 0.8351 18.8164 Ni
```

formation energy: 0.378 eV/atom
energy above the most stable polymorph in this dataset: 328 meV/atom
SG: R-3m, No. 166
crystal system: trigonal



Entry 22:
The following is a DFT calculation (PBE-GGA) of crystalline Rb2Na5Br3O2 at its relaxed geometry.

POSCAR file:
```
Rb2Na5Br3O2
1.0
-2.3688 2.3688 13.3879
2.3688 -2.3688 13.3879
2.3688 2.3688 -13.3879
Rb Na Br O
2 5 3 2
Cartesian
0.0000 0.0000 5.0194 Rb
0.0000 0.0000 21.7565 Rb
0.0000 0.0000 0.0000 Na
2.3688 0.0000 2.2647 Na
2.3688 0.0000 11.1233 Na
0.0000 2.3688 2.2647 Na
0.0000 2.3688 11.1233 Na
0.0000 0.0000 8.7259 Br
0.0000 0.0000 13.3879 Br
0.0000 0.0000 18.0500 Br
0.0000 0.0000 2.2767 O
0.0000 0.0000 24.4992 O
```

SG: I4/mmm, No. 139
crystal system: tetragonal
formation energy (no corrections): -1.417 eV per atom



Entry 23:
The following is a DFT calculation (PBE-GGA) of crystalline TaP2Rh at its relaxed geometry.

POSCAR file:
```
TaP2Rh
1.0
6.8983 0.0000 0.0000
0.0000 3.2925 0.0000
-1.4582 0.0000 5.3805
Ta P Rh
2 4 2
Cartesian
0.0000 0.0000 0.0000 Ta
3.4491 1.6463 0.0000 Ta
0.6577 0.0000 3.9222 P
1.3332 1.6463 1.4583 P
4.1069 1.6463 3.9222 P
4.7824 0.0000 1.4583 P
-0.7291 1.6463 2.6902 Rh
2.7201 0.0000 2.6902 Rh
```

formation energy: -0.310 eV/atom
energy above the most stable polymorph in this dataset: 238 meV/atom
SG: C2/m, No. 12
crystal system: monoclinic



Entry 24:
The following is a DFT calculation (PBE-GGA) of crystalline Ac6Nd3Tl at its relaxed geometry.

POSCAR file:
```
Ac6Nd3Tl
1.0
10.4032 0.0000 0.0000
0.0000 6.1465 0.0000
-4.9212 0.0000 12.6282
Ac Nd Tl
12 6 2
Cartesian
-1.7169 1.5366 5.4264 Ac
0.9919 4.6098 1.9950 Ac
2.6828 1.5366 0.0053 Ac
1.9880 1.5366 4.1354 Ac
-0.3223 4.6098 10.1731 Ac
1.2812 1.5366 8.0071 Ac
4.2008 4.6098 4.6210 Ac
5.8043 1.5366 2.4550 Ac
3.4940 4.6098 8.4928 Ac
2.7992 4.6098 12.6229 Ac
4.4901 1.5366 10.6332 Ac
7.1989 4.6098 7.2018 Ac
-3.9357 4.6098 10.8323 Nd
-2.5146 1.5366 9.0662 Nd
0.4622 4.6098 5.9641 Nd
5.0198 1.5366 6.6640 Nd
7.9966 4.6098 3.5620 Nd
9.4177 1.5366 1.7959 Nd
4.3661 4.6098 1.1058 Tl
1.1159 1.5366 11.5224 Tl
```

formation energy: -0.031 eV/atom
SG: P2_1/m, No. 11
crystal system: monoclinic



Entry 25:
The following is a DFT calculation (PBE-GGA) of crystalline NdPtO3 at its relaxed geometry.

POSCAR file:
```
NdPtO3
1.0
7.6527 0.0000 0.0000
0.0000 4.9315 0.0000
-4.1551 0.0000 8.0173
Nd Pt O
4 4 12
Cartesian
1.0967 1.2052 0.9291 Nd
-0.9809 1.2605 4.9377 Nd
4.4785 3.6710 3.0796 Nd
2.4009 3.7262 7.0882 Nd
2.9708 3.6050 0.3484 Pt
0.8933 3.7922 4.3571 Pt
2.6043 1.1393 3.6602 Pt
0.5267 1.3265 7.6689 Pt
-1.1284 3.5655 4.1261 O
0.9492 3.8317 0.1175 O
0.6372 0.5933 3.2463 O
-1.4404 1.8724 7.2550 O
2.1391 2.7981 2.5725 O
0.0615 4.5991 6.5812 O
3.4360 0.3324 1.4361 O
1.3585 2.1334 5.4448 O
4.9380 3.0591 0.7623 O
2.8604 4.3382 4.7710 O
2.5484 1.0998 7.8998 O
4.6259 1.3660 3.8912 O
```

SG: P2_1/c, No. 14
crystal system: monoclinic
formation energy (no corrections): -1.744 eV per atom